[1]
A geometry-optimized Tm6Tl3Se2S structure, computed with PBE-GGA.

The calculation puts the density of states at the Fermi level at 11.69 states/eV per cell. The calculation puts the density at 10.0 g cm⁻³. The volume comes out at 301.9 Å³/f.u. For the total magnetization, the calculation gives 0.0 μB per formula unit. The formation energy (no corrections) comes out at -1.0346 eV per atom.

Cell lengths 6.636, 11.480, 8.225 Å; angles 90.00, 105.47, 90.00 degrees
Space group C2/m (No. 12)
One atom of each set of equivalent atoms:
Tm: 0.231 0.162 0.211 (multiplicity 8)
Tm: 0.247 0.500 0.215 (multiplicity 4)
Tl: 0.000 0.173 0.500 (multiplicity 4)
Tl: 0.000 0.500 0.500 (multiplicity 2)
Se: 0.000 0.335 0.000 (multiplicity 4)
S: 0.000 0.000 0.000 (multiplicity 2)

[2]
A geometry-optimized Tm6TlSe2S3 structure, computed with PBE-GGA.

The calculation puts the density of states at the Fermi level at 11.46 states/eV per cell. The calculation puts the density at 9.1 g cm⁻³. The volume comes out at 270.0 Å³/f.u. For the total magnetization, the calculation gives 0.0 μB per formula unit. The formation energy (no corrections) comes out at -1.5411 eV per atom.

Cell lengths 17.497, 3.883, 8.187 Å; angles 90.00, 103.90, 90.00 degrees
Space group C2/m (No. 12)
One atom of each set of equivalent atoms:
Tm: 0.003 0.000 0.229 (multiplicity 4)
Tm: 0.161 0.500 0.094 (multiplicity 4)
Tm: 0.172 0.500 0.570 (multiplicity 4)
Tl: 0.000 0.500 0.500 (multiplicity 2)
Se: 0.170 0.000 0.838 (multiplicity 4)
S: 0.000 0.500 0.000 (multiplicity 2)
S: 0.168 0.000 0.329 (multiplicity 4)

[3]
A geometry-optimized UTlSe2S structure, computed with PBE-GGA.

The calculation puts the density of states at the Fermi level at 8.83 states/eV per cell. The calculation puts the density at 6.4 g cm⁻³. The volume comes out at 163.6 Å³/f.u. For the total magnetization, the calculation gives 1.0 μB per formula unit. The formation energy (no corrections) comes out at -0.8566 eV per atom.

Cell lengths 8.835, 4.190, 9.071 Å; angles 90.00, 103.04, 90.00 degrees
Space group P2_1/m (No. 11)
One atom of each set of equivalent atoms:
U: 0.147 0.250 0.182 (multiplicity 2)
Tl: 0.322 0.250 0.638 (multiplicity 2)
Se: 0.085 0.750 0.357 (multiplicity 2)
Se: 0.173 0.750 0.976 (multiplicity 2)
S: 0.422 0.250 0.310 (multiplicity 2)

[4]
A geometry-optimized UTlSeS2 structure, computed with PBE-GGA.

The calculation puts the density of states at the Fermi level at 10.43 states/eV per cell. The calculation puts the density at 6.6 g cm⁻³. The volume comes out at 147.5 Å³/f.u. For the total magnetization, the calculation gives 1.0 μB per formula unit. The formation energy (no corrections) comes out at -0.9255 eV per atom.

Cell lengths 7.094, 4.066, 10.400 Å; angles 90.00, 100.40, 90.00 degrees
Space group P2_1/m (No. 11)
One atom of each set of equivalent atoms:
U: 0.188 0.250 0.141 (multiplicity 2)
Tl: 0.271 0.750 0.627 (multiplicity 2)
Se: 0.218 0.250 0.398 (multiplicity 2)
S: 0.067 0.250 0.879 (multiplicity 2)
S: 0.416 0.750 0.142 (multiplicity 2)

[5]
A geometry-optimized TlVSeS structure, computed with PBE-GGA.

The calculation puts the density of states at the Fermi level at 6.02 states/eV per cell. The calculation puts the density at 7.0 g cm⁻³. The volume comes out at 86.9 Å³/f.u. For the total magnetization, the calculation gives 0.0 μB per formula unit. The formation energy (no corrections) comes out at -0.6037 eV per atom.

Cell lengths 5.737, 3.312, 9.144 Å; angles 90.00, 90.12, 90.00 degrees
Space group Cm (No. 8)
One atom of each set of equivalent atoms:
Tl: 0.000 0.000 0.000 (multiplicity 2)
V: 0.169 0.500 0.468 (multiplicity 2)
Se: 0.003 0.000 0.643 (multiplicity 2)
S: 0.335 0.000 0.313 (multiplicity 2)

[6]
A geometry-optimized Y4TlSe2S structure, computed with PBE-GGA.

The calculation puts the density of states at the Fermi level at 3.08 states/eV per cell. The calculation puts the density at 6.2 g cm⁻³. The volume comes out at 200.5 Å³/f.u. For the total magnetization, the calculation gives 0.0 μB per formula unit. The formation energy (no corrections) comes out at -1.4357 eV per atom.

Cell lengths 7.229, 4.051, 7.229 Å; angles 90.00, 108.70, 90.00 degrees
Space group P2/m (No. 10)
One atom of each set of equivalent atoms:
Y: 0.236 0.000 0.241 (multiplicity 2)
Y: 0.237 0.500 0.744 (multiplicity 2)
Tl: 0.500 0.000 0.000 (multiplicity 1)
Se: 0.000 0.000 0.500 (multiplicity 1)
Se: 0.500 0.500 0.500 (multiplicity 1)
S: 0.000 0.500 0.000 (multiplicity 1)

[7]
A geometry-optimized Y8Tl4Se3S structure, computed with PBE-GGA.

The calculation puts the density of states at the Fermi level at 16.47 states/eV per cell. The calculation puts the density at 7.0 g cm⁻³. The volume comes out at 425.4 Å³/f.u. For the total magnetization, the calculation gives 0.0 μB per formula unit. The formation energy (no corrections) comes out at -1.1025 eV per atom.

Cell lengths 13.658, 7.854, 9.156 Å; angles 90.00, 119.96, 90.00 degrees
Space group C2/m (No. 12)
One atom of each set of equivalent atoms:
Y: 0.010 0.244 0.287 (multiplicity 8)
Y: 0.234 0.000 0.713 (multiplicity 4)
Y: 0.240 0.500 0.719 (multiplicity 4)
Tl: 0.000 0.000 0.000 (multiplicity 2)
Tl: 0.000 0.500 0.000 (multiplicity 2)
Tl: 0.250 0.250 0.000 (multiplicity 4)
Se: 0.000 0.500 0.500 (multiplicity 2)
Se: 0.250 0.250 0.500 (multiplicity 4)
S: 0.000 0.000 0.500 (multiplicity 2)

[8]
A geometry-optimized YTlSeS structure, computed with PBE-GGA.

The calculation puts the density at 5.9 g cm⁻³. The volume comes out at 112.9 Å³/f.u. For the total magnetization, the calculation gives 0.0 μB per formula unit. The formation energy (no corrections) comes out at -1.4265 eV per atom.

Cell lengths 4.0938, 4.0938, 23.3342 Å; angles 90.00, 90.00, 120.00 degrees
Space group R3m (No. 160, hexagonal axes)
One atom of each set of equivalent atoms:
Y: 0.0000 0.0000 0.0000 (multiplicity 3)
Tl: 0.0000 0.0000 0.1711 (multiplicity 3)
Se: 0.0000 0.0000 0.4058 (multiplicity 3)
S: 0.0000 0.0000 0.6062 (multiplicity 3)

[9]
A geometry-optimized Y4TlSeS2 structure, computed with PBE-GGA.

The calculation puts the density of states at the Fermi level at 3.53 states/eV per cell. The calculation puts the density at 6.0 g cm⁻³. The volume comes out at 193.2 Å³/f.u. For the total magnetization, the calculation gives 0.0 μB per formula unit. The formation energy (no corrections) comes out at -1.4892 eV per atom.

Cell lengths 7.120, 3.981, 7.183 Å; angles 90.00, 108.39, 90.00 degrees
Space group P2/m (No. 10)
One atom of each set of equivalent atoms:
Y: 0.233 0.000 0.225 (multiplicity 2)
Y: 0.253 0.500 0.769 (multiplicity 2)
Tl: 0.500 0.500 0.500 (multiplicity 1)
Se: 0.000 0.000 0.500 (multiplicity 1)
S: 0.000 0.500 0.000 (multiplicity 1)
S: 0.500 0.000 0.000 (multiplicity 1)

[10]
A geometry-optimized Y4Tl2SeS structure, computed with PBE-GGA.

The calculation puts the density of states at the Fermi level at 3.47 states/eV per cell. The calculation puts the density at 6.9 g cm⁻³. The volume comes out at 209.5 Å³/f.u. For the total magnetization, the calculation gives 0.0 μB per formula unit. The formation energy (no corrections) comes out at -1.1330 eV per atom.

Cell lengths 6.777, 3.893, 8.249 Å; angles 90.00, 105.72, 90.00 degrees
Space group P2/m (No. 10)
One atom of each set of equivalent atoms:
Y: 0.228 0.000 0.207 (multiplicity 2)
Y: 0.255 0.500 0.787 (multiplicity 2)
Tl: 0.000 0.000 0.500 (multiplicity 1)
Tl: 0.500 0.500 0.500 (multiplicity 1)
Se: 0.500 0.000 0.000 (multiplicity 1)
S: 0.000 0.500 0.000 (multiplicity 1)

[11]
A geometry-optimized Y8Tl3Se3S structure, computed with PBE-GGA.

The calculation puts the density of states at the Fermi level at 16.31 states/eV per cell. The calculation puts the density at 6.3 g cm⁻³. The volume comes out at 417.7 Å³/f.u. For the total magnetization, the calculation gives 0.0 μB per formula unit. The formation energy (no corrections) comes out at -1.0685 eV per atom.

Cell lengths 13.739, 7.913, 8.950 Å; angles 90.00, 120.85, 90.00 degrees
Space group C2/m (No. 12)
One atom of each set of equivalent atoms:
Y: 0.009 0.244 0.283 (multiplicity 8)
Y: 0.235 0.000 0.717 (multiplicity 4)
Y: 0.241 0.500 0.721 (multiplicity 4)
Tl: 0.000 0.000 0.000 (multiplicity 2)
Tl: 0.250 0.250 0.000 (multiplicity 4)
Se: 0.000 0.500 0.500 (multiplicity 2)
Se: 0.250 0.250 0.500 (multiplicity 4)
S: 0.000 0.000 0.500 (multiplicity 2)

[12]
A geometry-optimized Y6TlSe3S2 structure, computed with PBE-GGA.

The calculation puts the density of states at the Fermi level at 10.98 states/eV per cell. The calculation puts the density at 5.9 g cm⁻³. The volume comes out at 291.5 Å³/f.u. For the total magnetization, the calculation gives 0.0 μB per formula unit. The formation energy (no corrections) comes out at -1.5819 eV per atom.

Cell lengths 17.924, 4.003, 8.369 Å; angles 90.00, 103.88, 90.00 degrees
Space group C2/m (No. 12)
One atom of each set of equivalent atoms:
Y: 0.006 0.000 0.265 (multiplicity 4)
Y: 0.171 0.500 0.102 (multiplicity 4)
Y: 0.172 0.500 0.572 (multiplicity 4)
Tl: 0.000 0.500 0.000 (multiplicity 2)
Se: 0.000 0.500 0.500 (multiplicity 2)
Se: 0.165 0.000 0.830 (multiplicity 4)
S: 0.169 0.000 0.338 (multiplicity 4)